(1)
## BaZnRe2 (GGA-PBE)

Data for crystalline BaZnRe2 at its relaxed geometry.

- D(E_F): 6.2 states/eV/f.u.
- Energy: -5.99 eV per atom

abc: 4.741 4.741 9.960
angles: 76.23 76.23 90.00
Sites, in units of the cell vectors:
Re1 0.420 0.125 0.250
Re2 0.330 0.625 0.250
Re3 0.375 0.580 0.750
Re4 0.875 0.670 0.750
Zn1 0.500 0.500 0.000
Zn2 0.250 0.750 0.500
Ba1 0.000 0.000 0.000
Ba2 0.750 0.250 0.500

=====

(2)
## BaZn4Re (GGA-PBE)

Data for crystalline BaZn4Re at its relaxed geometry.

- D(E_F): 2.7 states/eV/f.u.
- Energy: -2.80 eV per atom

abc: 5.417 5.417 5.417
angles: 60.00 60.00 60.00
Sites, in units of the cell vectors:
Ba1 0.750 0.750 0.750
Zn1 0.885 0.372 0.372
Zn2 0.372 0.372 0.885
Zn3 0.372 0.885 0.372
Zn4 0.372 0.372 0.372
Re1 0.000 0.000 0.000

=====

(3)
## BaZnRe2 (GGA-PBE)

Data for crystalline BaZnRe2 at its relaxed geometry.

- D(E_F): 4.6 states/eV/f.u.
- Energy: -5.57 eV per atom

abc: 5.170 3.998 3.998
angles: 90.00 90.00 90.00
Sites, in units of the cell vectors:
Ba1 0.500 0.000 0.500
Re1 0.000 0.000 0.000
Re2 0.000 0.500 0.500
Zn1 0.500 0.500 0.000

=====

(4)
## BaZnRe2 (GGA-PBE)

Data for crystalline BaZnRe2 at its relaxed geometry.

- D(E_F): 2.1 states/eV/f.u.
- Energy: -6.62 eV per atom

abc: 3.181 3.187 8.756
angles: 68.73 90.00 90.00
Sites, in units of the cell vectors:
Ba1 0.500 0.744 0.756
Re1 0.000 0.921 0.078
Re2 0.500 0.264 0.236
Zn1 0.000 0.570 0.431

=====

(5)
## Ba2ZnRe (GGA-PBE)

Data for crystalline Ba2ZnRe at its relaxed geometry.

- D(E_F): 4.2 states/eV/f.u.
- Energy: -3.57 eV per atom

abc: 3.734 3.734 8.791
angles: 90.00 90.00 89.98
Sites, in units of the cell vectors:
Ba1 0.000 0.000 0.021
Ba2 0.000 0.000 0.479
Re1 0.500 0.500 0.250
Zn1 0.500 0.500 0.750

=====

(6)
## BaZnRe2 (GGA-PBE)

Data for crystalline BaZnRe2 at its relaxed geometry.

- D(E_F): 3.7 states/eV/f.u.
- Energy: -6.25 eV per atom

abc: 4.754 3.701 5.919
angles: 78.21 90.00 90.00
Sites, in units of the cell vectors:
Ba1 0.500 0.750 0.750
Re1 0.000 0.044 0.123
Re2 0.000 0.456 0.377
Zn1 0.500 0.250 0.250

=====

(7)
## Ba3ZnRe (GGA-PBE)

Data for crystalline Ba3ZnRe at its relaxed geometry.

- D(E_F): 4.7 states/eV/f.u.
- Energy: -3.21 eV per atom

abc: 5.977 5.977 5.977
angles: 90.00 90.00 90.00
Sites, in units of the cell vectors:
Re1 0.000 0.000 0.000
Zn1 0.500 0.500 0.500
Ba1 0.000 0.500 0.000
Ba2 0.000 0.000 0.500
Ba3 0.500 0.000 0.000

=====

(8)
## BaZnRe2 (GGA-PBE)

Data for crystalline BaZnRe2 at its relaxed geometry.

- D(E_F): 4.6 states/eV/f.u.
- Energy: -5.55 eV per atom

abc: 6.067 6.067 6.067
angles: 141.94 141.94 54.93
Sites, in units of the cell vectors:
Ba1 0.750 0.250 0.500
Re1 0.000 0.000 0.000
Re2 0.500 0.500 0.000
Zn1 0.250 0.750 0.500

=====

(9)
## BaZnRe2 (GGA-PBE)

Data for crystalline BaZnRe2 at its relaxed geometry.

- D(E_F): 6.0 states/eV/f.u.
- Energy: -5.86 eV per atom

abc: 2.827 2.827 9.701
angles: 90.00 90.00 90.00
Sites, in units of the cell vectors:
Ba1 0.500 0.500 0.750
Re1 0.000 0.000 0.050
Re2 0.000 0.000 0.450
Zn1 0.500 0.500 0.250

=====

(10)
## Ba2ZnRe (GGA-PBE)

Data for crystalline Ba2ZnRe at its relaxed geometry.

- D(E_F): 4.8 states/eV/f.u.
- Energy: -3.73 eV per atom

abc: 6.526 6.526 6.526
angles: 143.37 132.31 61.60
Sites, in units of the cell vectors:
Ba1 0.018 0.018 0.000
Ba2 0.730 0.230 0.500
Re1 0.440 0.440 0.000
Zn1 0.311 0.811 0.500

=====

(11)
## Ba2ZnRe (GGA-PBE)

Data for crystalline Ba2ZnRe at its relaxed geometry.

- D(E_F): 4.3 states/eV/f.u.
- Energy: -3.80 eV per atom

abc: 4.639 4.880 6.308
angles: 67.26 90.00 90.00
Sites, in units of the cell vectors:
Ba1 0.000 0.985 0.905
Ba2 0.500 0.271 0.334
Re1 0.000 0.665 0.546
Zn1 0.500 0.580 0.715

=====

(12)
## BaZnRe2 (GGA-PBE)

Data for crystalline BaZnRe2 at its relaxed geometry.

- D(E_F): 3.0 states/eV/f.u.
- Energy: -5.58 eV per atom

abc: 5.951 5.951 2.764
angles: 90.00 90.00 123.83
Sites, in units of the cell vectors:
Ba1 0.000 0.500 0.500
Re1 0.000 0.000 0.000
Re2 0.500 0.500 0.000
Zn1 0.500 0.000 0.500

=====

(13)
## BaZn3Re (GGA-PBE)

Data for crystalline BaZn3Re at its relaxed geometry.

- D(E_F): 3.6 states/eV/f.u.
- Energy: -3.43 eV per atom

abc: 4.973 4.973 4.973
angles: 90.00 90.00 90.00
Sites, in units of the cell vectors:
Re1 0.000 0.000 0.000
Zn1 0.000 0.500 0.000
Zn2 0.000 0.000 0.500
Zn3 0.500 0.000 0.000
Ba1 0.500 0.500 0.500

=====

(14)
## BaZnRe2 (GGA-PBE)

Data for crystalline BaZnRe2 at its relaxed geometry.

- D(E_F): 3.7 states/eV/f.u.
- Energy: -6.12 eV per atom

abc: 3.421 3.421 7.385
angles: 90.00 90.00 90.00
Sites, in units of the cell vectors:
Ba1 0.500 0.500 0.750
Re1 0.000 0.000 0.095
Re2 0.000 0.000 0.405
Zn1 0.500 0.500 0.250

=====

(15)
## BaZn3Re (GGA-PBE)

Data for crystalline BaZn3Re at its relaxed geometry.

- D(E_F): 6.0 states/eV/f.u.
- Energy: -1.59 eV per atom

abc: 5.991 5.991 5.991
angles: 90.00 90.00 90.00
Sites, in units of the cell vectors:
Re1 0.500 0.500 0.500
Zn1 0.000 0.500 0.000
Zn2 0.000 0.000 0.500
Zn3 0.500 0.000 0.000
Ba1 0.000 0.000 0.000

=====

(16)
## Ba2ZnRe (GGA-PBE)

Data for crystalline Ba2ZnRe at its relaxed geometry.

- D(E_F): 3.9 states/eV/f.u.
- Energy: -3.83 eV per atom

abc: 3.625 3.625 9.421
angles: 90.00 90.00 90.00
Sites, in units of the cell vectors:
Ba1 0.000 0.000 0.906
Ba2 0.500 0.500 0.340
Re1 0.000 0.000 0.592
Zn1 0.500 0.500 0.662

=====

(17)
## Ba2ZnRe (GGA-PBE)

Data for crystalline Ba2ZnRe at its relaxed geometry.

- D(E_F): 2.3 states/eV/f.u.
- Energy: -3.37 eV per atom

abc: 10.369 10.369 10.369
angles: 21.03 21.03 21.03
Sites, in units of the cell vectors:
Ba1 0.991 0.991 0.991
Ba2 0.509 0.509 0.509
Re1 0.250 0.250 0.250
Zn1 0.750 0.750 0.750

=====

(18)
## BaZnRe2 (GGA-PBE)

Data for crystalline BaZnRe2 at its relaxed geometry.

- D(E_F): 3.4 states/eV/f.u.
- Energy: -6.62 eV per atom

abc: 4.439 4.439 6.538
angles: 70.20 70.20 59.99
Sites, in units of the cell vectors:
Ba1 0.250 0.250 0.250
Re1 0.070 0.070 0.789
Re2 0.430 0.430 0.711
Zn1 0.750 0.750 0.750

=====

(19)
## BaZnRe2 (GGA-PBE)

Data for crystalline BaZnRe2 at its relaxed geometry.

- D(E_F): 3.3 states/eV/f.u.
- Energy: -5.89 eV per atom

abc: 2.821 2.821 9.885
angles: 90.00 90.00 102.91
Sites, in units of the cell vectors:
Ba1 0.500 0.500 0.750
Re1 0.000 0.000 0.045
Re2 0.000 0.000 0.455
Zn1 0.500 0.500 0.250

=====

(20)
## BaZnRe2 (GGA-PBE)

Data for crystalline BaZnRe2 at its relaxed geometry.

- D(E_F): 2.9 states/eV/f.u.
- Energy: -5.77 eV per atom

abc: 4.815 4.815 4.815
angles: 120.16 120.16 89.72
Sites, in units of the cell vectors:
Ba1 0.750 0.250 0.500
Re1 0.000 0.000 0.000
Re2 0.250 0.750 0.500
Zn1 0.500 0.500 0.000

=====

The spin magnetization results, record by record, are as follows: 0.00, 2.34, 0.00, 0.00, 1.29, 0.00, 0.00, 0.00, 0.00, 0.57, 0.81, 0.00, 0.00, 0.00, 3.83, 0.00, 0.00, 0.00, 0.00, 0.00 μB per cell.
The energy of formation from the pure elements results, record by record, are as follows: 1029, 441, 1453, 398, 825, 776, 690, 1472, 1162, 660, 591, 1443, 209, 899, 2047, 558, 1024, 407, 1134, 1249 meV/atom.